DFT (GGA+U) results for AlCoF2 after structural relaxation.

Unit cell a=7.0411 b=7.0411 c=7.0411 alpha=23.47 beta=23.47 gamma=23.47
Positions (direct):
Al  0.0000  0.0000  0.0000
Co  0.5000  0.5000  0.5000
F  0.0938  0.0938  0.0938
F  0.9062  0.9062  0.9062

Density of states at the Fermi level, states/eV/cell: 2.9
M_tot, μB/f.u.: 2.00
Energy above the lowest structure with this stoichiometry, meV per atom: 0.0
Final energy, eV per atom: -4.57